A geometry-optimized CdTcSb2 structure. Source: Alexandria via LeMat-Bulk, functional PBE.

For the density of states at the Fermi level, the calculation gives 3.74 states/eV per cell. The calculation puts the raw formation energy at 0.58 eV/atom. Its final energy is -17.19 eV per formula unit.

It has space group Pmmm (No. 47), with a = 3.749 Å, b = 4.481 Å, c = 5.105 Å, α = 90.00°, β = 90.00° and γ = 90.00°. Symmetry generates all atoms from Cd at (0.000, 0.000, 0.000), Tc at (0.500, 0.000, 0.500), Sb at (0.000, 0.500, 0.500) and Sb at (0.500, 0.500, 0.000).

=====

A geometry-optimized Cd2TcSb structure. Source: Alexandria via LeMat-Bulk, functional PBE.

For the density of states at the Fermi level, the calculation gives 1.28 states/eV per cell. The calculation puts the raw formation energy at 0.19 eV/atom. Its final energy is -15.54 eV per formula unit.

It has space group P4mm (No. 99), with a = 3.426 Å, b = 3.426 Å, c = 6.935 Å, α = 90.00°, β = 90.00° and γ = 90.00°. Symmetry generates all atoms from Cd at (0.000, 0.000, 0.000), Cd at (0.500, 0.500, 0.265), Tc at (0.500, 0.500, 0.745) and Sb at (0.000, 0.000, 0.562).

=====

A geometry-optimized CdTc2Sb structure. Source: Alexandria via LeMat-Bulk, functional PBE.

For the density of states at the Fermi level, the calculation gives 4.75 states/eV per cell. The calculation puts the raw formation energy at 0.50 eV/atom. Its final energy is -23.77 eV per formula unit. The value obtained for the distance to the lowest polymorph of the same formula is 0.367 eV per atom.

It has space group P2/m (No. 10), with a = 3.053 Å, b = 4.142 Å, c = 5.823 Å, α = 90.00°, β = 103.30° and γ = 90.00°. Symmetry generates all atoms from Cd at (0.000, 0.000, 0.000), Tc at (0.379, 0.500, 0.745) and Sb at (0.000, 0.000, 0.500).

=====

A geometry-optimized CdTcSb2 structure. Source: Alexandria via LeMat-Bulk, functional PBE.

For the density of states at the Fermi level, the calculation gives 2.99 states/eV per cell. The calculation puts the raw formation energy at 0.24 eV/atom. Its final energy is -18.55 eV per formula unit.

It has space group P4mm (No. 99), with a = 3.247 Å, b = 3.247 Å, c = 8.478 Å, α = 90.00°, β = 90.00° and γ = 90.00°. Symmetry generates all atoms from Cd at (0.000, 0.000, 0.000), Tc at (0.500, 0.500, 0.782), Sb at (0.000, 0.000, 0.611) and Sb at (0.500, 0.500, 0.284).

=====

A geometry-optimized CdTc2Sb structure. Source: Alexandria via LeMat-Bulk, functional PBE.

For the density of states at the Fermi level, the calculation gives 3.10 states/eV per cell. The calculation puts the raw formation energy at 0.13 eV/atom. Its final energy is -25.24 eV per formula unit. The value obtained for the distance to the lowest polymorph of the same formula is 0.000 eV per atom.

It has space group P4mm (No. 99), with a = 3.026 Å, b = 3.026 Å, c = 8.642 Å, α = 90.00°, β = 90.00° and γ = 90.00°. Symmetry generates all atoms from Cd at (0.000, 0.000, 0.000), Tc at (0.000, 0.000, 0.595), Tc at (0.500, 0.500, 0.768) and Sb at (0.500, 0.500, 0.369).

=====

A geometry-optimized CdTcSb2 structure. Source: Alexandria via LeMat-Bulk, functional PBE.

For the density of states at the Fermi level, the calculation gives 13.92 states/eV per cell. The calculation puts the raw formation energy at 0.44 eV/atom. Its final energy is -17.76 eV per formula unit.

It has space group I-42d (No. 122), with a = 6.443 Å, b = 6.443 Å, c = 12.053 Å, α = 90.00°, β = 90.00° and γ = 90.00°. Symmetry generates all atoms from Cd at (0.000, 0.000, 0.000), Tc at (0.000, 0.000, 0.500) and Sb at (0.203, 0.250, 0.625).

=====

A geometry-optimized CdTcSb2 structure. Source: Alexandria via LeMat-Bulk, functional PBE.

For the density of states at the Fermi level, the calculation gives 2.82 states/eV per cell. The calculation puts the raw formation energy at 0.30 eV/atom. Its final energy is -18.34 eV per formula unit.

It has space group Pmm2 (No. 25), with a = 3.214 Å, b = 4.172 Å, c = 7.646 Å, α = 90.00°, β = 90.00° and γ = 90.00°. Symmetry generates all atoms from Cd at (0.000, 0.000, 0.000), Tc at (0.500, 0.500, 0.546), Sb at (0.000, 0.000, 0.627) and Sb at (0.500, 0.500, 0.213).

=====

A geometry-optimized CdTcSb2 structure. Source: Alexandria via LeMat-Bulk, functional PBE.

For the density of states at the Fermi level, the calculation gives 3.03 states/eV per cell. The calculation puts the raw formation energy at 0.50 eV/atom. Its final energy is -17.53 eV per formula unit.

It has space group P4/mmm (No. 123), with a = 4.840 Å, b = 4.840 Å, c = 3.612 Å, α = 90.00°, β = 90.00° and γ = 90.00°. Symmetry generates all atoms from Cd at (0.000, 0.000, 0.000), Tc at (0.500, 0.500, 0.000) and Sb at (0.000, 0.500, 0.500).

=====

A geometry-optimized CdTc2Sb structure. Source: Alexandria via LeMat-Bulk, functional PBE.

For the density of states at the Fermi level, the calculation gives 4.93 states/eV per cell. The calculation puts the raw formation energy at 0.43 eV/atom. Its final energy is -24.06 eV per formula unit. The value obtained for the distance to the lowest polymorph of the same formula is 0.294 eV per atom.

It has space group P4/mmm (No. 123), with a = 4.582 Å, b = 4.582 Å, c = 3.255 Å, α = 90.00°, β = 90.00° and γ = 90.00°. Symmetry generates all atoms from Cd at (0.000, 0.000, 0.000), Tc at (0.000, 0.500, 0.500) and Sb at (0.500, 0.500, 0.000).

=====

A geometry-optimized Cd2TcSb structure. Source: Alexandria via LeMat-Bulk, functional PBE.

For the density of states at the Fermi level, the calculation gives 3.39 states/eV per cell. The calculation puts the raw formation energy at 0.21 eV/atom. Its final energy is -15.50 eV per formula unit.

It has space group Immm (No. 71), with a = 3.029 Å, b = 4.325 Å, c = 13.642 Å, α = 90.00°, β = 90.00° and γ = 90.00°. Symmetry generates all atoms from Cd at (0.000, 0.000, 0.188), Tc at (0.000, 0.500, 0.500) and Sb at (0.000, 0.500, 0.000).

=====

A geometry-optimized CdTcSb2 structure. Source: Alexandria via LeMat-Bulk, functional PBE.

For the density of states at the Fermi level, the calculation gives 17.67 states/eV per cell. The calculation puts the raw formation energy at 0.67 eV/atom. Its final energy is -16.83 eV per formula unit.

It has space group F-43m (No. 216), with a = 6.999 Å, b = 6.999 Å, c = 6.999 Å, α = 90.00°, β = 90.00° and γ = 90.00°. Symmetry generates all atoms from Cd at (0.000, 0.000, 0.000), Tc at (0.250, 0.250, 0.750), Sb at (0.000, 0.000, 0.500) and Sb at (0.250, 0.250, 0.250).

=====

A geometry-optimized CdTc2Sb structure. Source: Alexandria via LeMat-Bulk, functional PBE.

For the density of states at the Fermi level, the calculation gives 9.54 states/eV per cell. The calculation puts the raw formation energy at 0.52 eV/atom. Its final energy is -23.68 eV per formula unit. The value obtained for the distance to the lowest polymorph of the same formula is 0.390 eV per atom.

It has space group I-4m2 (No. 119), with a = 4.080 Å, b = 4.080 Å, c = 8.388 Å, α = 90.00°, β = 90.00° and γ = 90.00°. Symmetry generates all atoms from Cd at (0.000, 0.000, 0.000), Tc at (0.000, 0.000, 0.500), Tc at (0.000, 0.500, 0.250) and Sb at (0.000, 0.500, 0.750).

=====

A geometry-optimized CdTc2Sb structure. Source: Alexandria via LeMat-Bulk, functional PBE.

For the density of states at the Fermi level, the calculation gives 16.92 states/eV per cell. The calculation puts the raw formation energy at 0.85 eV/atom. Its final energy is -22.37 eV per formula unit. The value obtained for the distance to the lowest polymorph of the same formula is 0.717 eV per atom.

It has space group I-42d (No. 122), with a = 7.490 Å, b = 7.490 Å, c = 5.542 Å, α = 90.00°, β = 90.00° and γ = 90.00°. Symmetry generates all atoms from Cd at (0.000, 0.000, 0.000), Tc at (0.229, 0.250, 0.625) and Sb at (0.000, 0.000, 0.500).

=====

A geometry-optimized Cd2TcSb structure. Source: Alexandria via LeMat-Bulk, functional PBE.

For the density of states at the Fermi level, the calculation gives 8.02 states/eV per cell. The calculation puts the raw formation energy at 0.51 eV/atom. Its final energy is -14.30 eV per formula unit.

It has space group R-3m (No. 166, hexagonal axes), with a = 3.2033 Å, b = 3.2033 Å, c = 28.8478 Å, α = 90.00°, β = 90.00° and γ = 120.00°. Symmetry generates all atoms from Cd at (0.0000, 0.0000, 0.2428), Tc at (0.0000, 0.0000, 0.5000) and Sb at (0.0000, 0.0000, 0.0000).

=====

A geometry-optimized Cd2TcSb structure. Source: Alexandria via LeMat-Bulk, functional PBE.

For the density of states at the Fermi level, the calculation gives 4.82 states/eV per cell. The calculation puts the raw formation energy at 0.35 eV/atom. Its final energy is -14.93 eV per formula unit.

It has space group I4/mmm (No. 139), with a = 4.027 Å, b = 4.027 Å, c = 9.713 Å, α = 90.00°, β = 90.00° and γ = 90.00°. Symmetry generates all atoms from Cd at (0.000, 0.500, 0.250), Tc at (0.000, 0.000, 0.000) and Sb at (0.000, 0.000, 0.500).